Entry 1:
# Nd3Dy2Hg6 GGA-PBE relaxed
data_Nd3Dy2Hg6
_chemical_formula_sum 'Nd6 Dy4 Hg12'
_symmetry_space_group_name_H-M 'I 4/m m m'
_symmetry_Int_Tables_number 139
_symmetry_space_group_name_Hall '-I 4 2'
_cell_length_a 4.473
_cell_length_b 4.473
_cell_length_c 33.131
_cell_angle_alpha 90.00
_cell_angle_beta 90.00
_cell_angle_gamma 90.00
loop_
_atom_site_label
_atom_site_fract_x
_atom_site_fract_y
_atom_site_fract_z
Nd1 0.000 0.000 0.000
Nd2 0.000 0.000 0.182
Dy1 0.000 0.000 0.371
Hg1 0.000 0.000 0.279
Hg2 0.000 0.500 0.068
# Energy relative to the elements   -181 meV/atom
# Volume   30.1 A^3/atom
# Total moment   0.00 μB/atom
# Total energy   -54.6 eV per cell


Entry 2:
# NdDy4Hg2 GGA-PBE relaxed
data_NdDy4Hg2
_chemical_formula_sum 'Nd3 Dy12 Hg6'
_symmetry_space_group_name_H-M 'R -3 m'
_symmetry_Int_Tables_number 166
_symmetry_space_group_name_Hall '-R 3 2"'
_cell_length_a 5.0423
_cell_length_b 5.0423
_cell_length_c 30.9978
_cell_angle_alpha 90.00
_cell_angle_beta 90.00
_cell_angle_gamma 120.00
loop_
_atom_site_label
_atom_site_fract_x
_atom_site_fract_y
_atom_site_fract_z
Nd1 0.0000 0.0000 0.0000
Dy1 0.0000 0.0000 0.2025
Dy2 0.0000 0.0000 0.3945
Hg1 0.0000 0.0000 0.1019
# Energy above the most stable polymorph in this dataset   118 meV/atom
# Energy relative to the elements   27 meV/atom
# Volume   32.5 A^3/atom
# Total moment   0.00 μB/atom
# Total energy   -70.8 eV per cell